## MgTaW (GGA-PBE)

Data for a relaxed MgTaW crystal.

Cell: 5.053 5.053 5.053 Å, 148.85 126.92 62.84°
Fractional positions:
Mg 0.001 0.001 0.000
Ta 0.332 0.332 0.000
W 0.667 0.667 0.000

ΔE to the lowest computed polymorph = 104 meV per atom
Formation energy = 345 meV per atom
SG = Imm2, No. 44

## GdErIr2 (GGA-PBE)

Data for a relaxed GdErIr2 crystal.

Cell: 4.849 4.849 4.849 Å, 60.00 60.00 60.00°
Fractional positions:
Gd 0.750 0.750 0.750
Ir 0.000 0.000 0.000
Ir 0.500 0.500 0.500
Er 0.250 0.250 0.250

ΔE to the lowest computed polymorph = 5 meV per atom
Formation energy = -798 meV per atom
SG = Fm-3m, No. 225

## Ce2NbSi3Ir4 (GGA-PBE)

Data for a relaxed Ce2NbSi3Ir4 crystal.

Cell: 4.155 4.155 10.375 Å, 90.00 90.00 90.00°
Fractional positions:
Ce 0.500 0.000 0.244
Ce 0.000 0.500 0.756
Nb 0.500 0.500 0.500
Si 0.000 0.000 0.500
Si 0.500 0.000 0.875
Si 0.000 0.500 0.125
Ir 0.500 0.500 0.000
Ir 0.000 0.000 0.000
Ir 0.500 0.000 0.643
Ir 0.000 0.500 0.357

SG = P-4m2, No. 115
Raw total energy = -0.305 Ha/atom

## PmPuTh2S4 (GGA-PBE)

Data for a relaxed PmPuTh2S4 crystal.

Cell: 3.997 6.915 7.020 Å, 109.22 90.00 90.00°
Fractional positions:
Pm 0.000 0.000 0.000
Pu 0.500 0.500 0.000
Th 0.500 0.000 0.500
Th 0.000 0.500 0.500
S 0.500 0.251 0.245
S 0.500 0.749 0.755
S 0.000 0.256 0.758
S 0.000 0.744 0.242

SG = P2/m, No. 10
Raw total energy = -0.301 Ha/atom

## CsTl2PbCl8 (GGA-PBE)

Data for a relaxed CsTl2PbCl8 crystal.

Cell: 7.062 7.062 10.705 Å, 70.74 70.74 60.00°
Fractional positions:
Cs 0.500 0.500 0.500
Tl 0.251 0.251 0.246
Tl 0.749 0.749 0.754
Pb 0.000 0.000 0.000
Cl 0.166 0.166 0.501
Cl 0.621 0.296 0.170
Cl 0.834 0.834 0.499
Cl 0.913 0.621 0.170
Cl 0.087 0.379 0.830
Cl 0.296 0.913 0.170
Cl 0.704 0.087 0.830
Cl 0.379 0.704 0.830

SG = R-3, No. 148
Raw total energy = -0.110 Ha/atom

## Ti3OsAu (GGA-PBE)

Data for a relaxed Ti3OsAu crystal.

Cell: 4.741 4.741 4.741 Å, 90.00 90.00 90.00°
Fractional positions:
Os 0.500 0.500 0.500
Au 0.000 0.000 0.000
Ti 0.000 0.500 0.000
Ti 0.000 0.000 0.500
Ti 0.500 0.000 0.000

ΔE to the lowest computed polymorph = 873 meV per atom
Formation energy = 1274 meV per atom
SG = Pm-3m, No. 221

## Ba4AgPd3 (GGA-PBE)

Data for a relaxed Ba4AgPd3 crystal.

Cell: 4.509 4.830 12.073 Å, 90.00 90.00 90.00°
Fractional positions:
Pd 0.000 0.500 0.573
Pd 0.000 0.000 0.430
Pd 0.500 0.000 0.931
Ba 0.500 0.500 0.372
Ba 0.000 0.500 0.853
Ba 0.000 0.000 0.140
Ba 0.500 0.000 0.636
Ag 0.500 0.500 0.065

Formation energy = -470 meV per atom
SG = Pmm2, No. 25

## BaCr2Ag (GGA-PBE)

Data for a relaxed BaCr2Ag crystal.

Cell: 6.203 6.203 6.203 Å, 146.21 126.90 64.44°
Fractional positions:
Ag 0.750 0.250 0.500
Ba 0.250 0.750 0.500
Cr 0.962 0.962 0.000
Cr 0.538 0.538 0.000

ΔE to the lowest computed polymorph = 327 meV per atom
Formation energy = 841 meV per atom
SG = Immm, No. 71

## YHo2TlC (GGA-PBE)

Data for a relaxed YHo2TlC crystal.

Cell: 4.924 4.898 4.898 Å, 90.00 90.00 90.00°
Fractional positions:
Y 0.500 0.000 0.000
Ho 0.000 0.000 0.500
Ho 0.000 0.500 0.000
Tl 0.500 0.500 0.500
C 0.000 0.000 0.000

Formation energy = -480 meV per atom
SG = P4/mmm, No. 123

## PrAl20Cr2 (GGA-PBE)

Data for a relaxed PrAl20Cr2 crystal.

Cell: 10.243 10.243 10.243 Å, 60.00 60.00 60.00°
Fractional positions:
Pr 0.500 0.500 0.500
Pr 0.750 0.750 0.750
Al 0.864 0.864 0.136
Al 0.136 0.136 0.864
Al 0.864 0.136 0.864
Al 0.136 0.864 0.136
Al 0.136 0.864 0.864
Al 0.864 0.136 0.136
Al 0.386 0.386 0.114
Al 0.114 0.114 0.386
Al 0.386 0.114 0.386
Al 0.114 0.386 0.114
Al 0.114 0.386 0.386
Al 0.386 0.114 0.114
Al 0.568 0.298 0.298
Al 0.298 0.568 0.837
Al 0.298 0.837 0.568
Al 0.837 0.298 0.298
Al 0.298 0.298 0.568
Al 0.568 0.837 0.298
Al 0.837 0.568 0.298
Al 0.298 0.298 0.837
Al 0.298 0.568 0.298
Al 0.837 0.298 0.568
Al 0.568 0.298 0.837
Al 0.298 0.837 0.298
Al 0.682 0.952 0.952
Al 0.952 0.682 0.413
Al 0.952 0.413 0.682
Al 0.413 0.952 0.952
Al 0.952 0.952 0.682
Al 0.682 0.413 0.952
Al 0.413 0.682 0.952
Al 0.952 0.952 0.413
Al 0.952 0.682 0.952
Al 0.413 0.952 0.682
Al 0.682 0.952 0.413
Al 0.952 0.413 0.952
Al 0.125 0.625 0.625
Al 0.625 0.125 0.625
Al 0.625 0.625 0.125
Al 0.625 0.625 0.625
Cr 0.625 0.125 0.125
Cr 0.125 0.625 0.125
Cr 0.125 0.125 0.625
Cr 0.125 0.125 0.125

Formation energy = -148 meV per atom
SG = Fd-3m, No. 227

## TlVN (GGA-PBE)

Data for a relaxed TlVN crystal.

Cell: 3.748 3.748 8.018 Å, 90.00 90.00 90.00°
Fractional positions:
Tl 0.000 0.500 0.852
Tl 0.500 0.000 0.148
N 0.000 0.500 0.435
N 0.500 0.000 0.565
V 0.000 0.000 0.500
V 0.500 0.500 0.500

SG = P4/nmm, No. 129
Raw total energy = -0.256 Ha/atom

## Zr2ScNi (GGA-PBE)

Data for a relaxed Zr2ScNi crystal.

Cell: 5.560 5.560 5.560 Å, 137.13 137.13 62.24°
Fractional positions:
Ni 0.250 0.750 0.500
Sc 0.750 0.250 0.500
Zr 0.000 0.000 0.000
Zr 0.500 0.500 0.000

ΔE to the lowest computed polymorph = 251 meV per atom
Formation energy = 9 meV per atom
SG = I4/mmm, No. 139

## Y3NpS6 (GGA-PBE)

Data for a relaxed Y3NpS6 crystal.

Cell: 3.957 11.076 11.275 Å, 108.58 90.00 90.00°
Fractional positions:
Y 0.750 0.433 0.833
Y 0.250 0.567 0.167
Y 0.750 0.681 0.503
Y 0.250 0.319 0.497
Y 0.750 0.159 0.083
Y 0.250 0.841 0.917
Np 0.750 0.047 0.690
Np 0.250 0.953 0.310
S 0.750 0.478 0.613
S 0.250 0.522 0.387
S 0.750 0.918 0.100
S 0.250 0.082 0.900
S 0.750 0.398 0.064
S 0.250 0.602 0.936
S 0.750 0.745 0.276
S 0.250 0.255 0.724
S 0.750 0.112 0.461
S 0.250 0.888 0.539
S 0.750 0.809 0.750
S 0.250 0.191 0.250

SG = P2_1/m, No. 11
Raw total energy = -0.280 Ha/atom

## KBa (GGA-PBE)

Data for a relaxed KBa crystal.

Cell: 4.375 4.375 14.215 Å, 90.00 90.00 90.00°
Fractional positions:
K 0.250 0.250 0.629
K 0.750 0.750 0.371
Ba 0.250 0.250 0.119
Ba 0.750 0.750 0.881

Formation energy = 60 meV per atom
SG = P4/nmm, No. 129

## SrAs2Br (GGA-PBE)

Data for a relaxed SrAs2Br crystal.

Cell: 4.096 4.093 6.390 Å, 90.00 90.00 90.00°
Fractional positions:
Sr 0.000 0.500 0.500
As 0.000 0.000 0.000
As 0.500 0.500 0.000
Br 0.500 0.000 0.500

ΔE to the lowest computed polymorph = 244 meV per atom
SG = P4/mmm, No. 123

## K2NbCdO4 (GGA-PBE)

Data for a relaxed K2NbCdO4 crystal.

Cell: 6.398 6.398 6.398 Å, 80.91 125.38 125.38°
Fractional positions:
K 0.500 0.750 0.250
K 0.000 0.000 0.000
Nb 0.000 0.500 0.500
Cd 0.500 0.250 0.750
O 0.625 0.404 0.440
O 0.036 0.221 0.596
O 0.964 0.560 0.185
O 0.375 0.815 0.779

SG = I-4, No. 82
Raw total energy = -0.218 Ha/atom

## La3InO (GGA-PBE)

Data for a relaxed La3InO crystal.

Cell: 13.454 9.355 9.355 Å, 82.27 125.21 54.79°
Fractional positions:
In 0.062 0.536 0.318
In 0.438 0.818 0.036
In 0.938 0.464 0.682
In 0.562 0.182 0.964
O 0.750 0.184 0.684
O 0.250 0.816 0.316
O 0.750 0.457 0.957
O 0.250 0.543 0.043
La 0.401 0.416 0.442
La 0.099 0.942 0.916
La 0.599 0.584 0.558
La 0.901 0.058 0.084
La 0.098 0.214 0.180
La 0.402 0.680 0.714
La 0.902 0.786 0.820
La 0.598 0.320 0.286
La 0.574 0.871 0.821
La 0.926 0.321 0.371
La 0.426 0.129 0.179
La 0.074 0.679 0.629

SG = C2/c, No. 15
Raw total energy = -0.210 Ha/atom

## AgPtCl2 (GGA-PBE)

Data for a relaxed AgPtCl2 crystal.

Cell: 3.493 3.493 7.166 Å, 90.00 90.00 90.00°
Fractional positions:
Ag 0.500 0.500 0.783
Pt 0.000 0.000 0.419
Cl 0.000 0.000 0.929
Cl 0.500 0.500 0.369

ΔE to the lowest computed polymorph = 280 meV per atom
SG = P4mm, No. 99

## BaMgZn2Au2 (GGA-PBE)

Data for a relaxed BaMgZn2Au2 crystal.

Cell: 4.573 4.573 7.704 Å, 90.00 90.00 120.00°
Fractional positions:
Ba 0.000 0.000 0.000
Mg 0.000 0.000 0.500
Zn 0.667 0.333 0.681
Zn 0.333 0.667 0.319
Au 0.667 0.333 0.315
Au 0.333 0.667 0.685

Formation energy = -508 meV per atom
SG = P-3m1, No. 164

## Cu2ReAs (GGA-PBE)

Data for a relaxed Cu2ReAs crystal.

Cell: 4.358 2.701 4.959 Å, 74.35 90.00 90.00°
Fractional positions:
As 0.500 0.750 0.750
Cu 0.000 0.865 0.000
Cu 0.000 0.635 0.500
Re 0.500 0.250 0.250

Formation energy = 383 meV per atom
SG = P2/m, No. 10

| no. | size of the total moment (μB/cell) |
| --- | --- |
| 1 | 0.0 |
| 2 | 6.8 |
| 3 | 0.6 |
| 4 | 5.5 |
| 5 | 0.8 |
| 6 | 0.0 |
| 7 | 0.0 |
| 8 | 9.3 |
| 9 | 0.0 |
| 10 | 3.4 |
| 11 | 0.0 |
| 12 | 0.0 |
| 13 | 8.0 |
| 14 | 0.0 |
| 15 | 0.0 |
| 16 | 0.0 |
| 17 | 0.0 |
| 18 | 0.0 |
| 19 | 0.0 |
| 20 | 0.0 |